Record 1
Compound: Y2As
Source: Alexandria
Functional: GGA-PBE
Structure: relaxed

Lattice parameters (Å, degrees): 4.705 4.705 3.748 90.00 90.00 90.00
Fractional positions:
Y  0.000  0.500  0.000
Y  0.500  0.000  0.000
As  0.000  0.000  0.500

Calculated values
Formation energy from the elements ... -2.14 eV/f.u.

***

Record 2
Compound: Fe3SbN
Source: Alexandria
Functional: GGA-PBE
Structure: relaxed

Lattice parameters (Å, degrees): 5.450 5.450 5.450 119.70 91.25 118.87
Fractional positions:
Fe  0.229  0.000  0.729
Fe  0.229  0.500  0.229
Fe  0.299  0.049  0.250
Fe  0.701  0.951  0.750
Fe  0.771  0.000  0.271
Fe  0.771  0.500  0.771
Sb  0.249  0.499  0.750
Sb  0.751  0.501  0.250
N  0.000  0.000  0.000
N  0.500  0.000  0.500

Calculated values
Energy above the most stable polymorph in this dataset ... 0.103 eV per formula unit

***

| no. | uncorrected energy (eV for the cell shown) |
| --- | --- |
| 1 | -19.7 |
| 2 | -74.9 |